No. 1
{"formula": "PrNd2HoSe4", "functional": "PBE", "state": "relaxed", "raw_formation_energy_ev_per_atom": -1.80, "lattice": [[-2.216, -3.036, -1.728], [0.112, -3.660, 6.287], [-5.834, 1.988, 3.990]], "species": ["Ho", "Nd", "Nd", "Se", "Se", "Se", "Se", "Pr"], "frac_coords": [[0.000, 0.500, 0.500], [0.500, 0.000, 0.500], [0.000, 0.000, 0.000], [0.000, 0.254, 0.258], [0.000, 0.746, 0.742], [0.500, 0.739, 0.262], [0.500, 0.261, 0.738], [0.500, 0.500, 0.000]]}

No. 2
{"formula": "SmSCl3", "functional": "PBE", "state": "relaxed", "raw_formation_energy_ev_per_atom": -1.69, "lattice": [[-6.080, 4.063, -1.659], [0.351, -2.314, -6.954], [-6.993, -10.773, -0.759]], "species": ["Cl", "Cl", "Cl", "Cl", "Cl", "Cl", "Cl", "Cl", "Cl", "Cl", "Cl", "Cl", "S", "S", "S", "S", "Sm", "Sm", "Sm", "Sm"], "frac_coords": [[0.490, 0.689, 0.550], [0.510, 0.311, 0.450], [0.990, 0.311, 0.449], [0.010, 0.689, 0.551], [0.510, 0.189, 0.050], [0.250, 0.553, 0.209], [0.990, 0.189, 0.051], [0.250, 0.947, 0.291], [0.010, 0.811, 0.949], [0.490, 0.811, 0.950], [0.750, 0.053, 0.709], [0.750, 0.447, 0.791], [0.751, 0.691, 0.193], [0.751, 0.809, 0.307], [0.249, 0.191, 0.693], [0.249, 0.309, 0.807], [0.750, 0.081, 0.919], [0.250, 0.919, 0.081], [0.250, 0.581, 0.419], [0.750, 0.419, 0.581]]}

No. 3
{"formula": "CrTcGe2", "functional": "PBE", "state": "relaxed", "delta_e_f_mev_per_atom": 467.9, "de_polymorph_kj_per_mol_fu": 180, "lattice": [[-1.021, 6.564, -1.376], [-3.518, -1.709, -5.543], [-4.666, 2.377, -1.922]], "species": ["Ge", "Ge", "Ge", "Ge", "Tc", "Tc", "Cr", "Cr"], "frac_coords": [[0.624, 0.125, 0.250], [0.875, 0.874, 0.750], [0.126, 0.625, 0.250], [0.375, 0.376, 0.750], [0.000, 0.000, 0.000], [0.750, 0.250, 0.500], [0.500, 0.500, 0.000], [0.250, 0.750, 0.500]]}